# 1
The following is a DFT calculation (GGA-PBE) of a relaxed RbMnGa2Cl8 crystal.

Computed properties:
DOS at the Fermi energy: 3.9 states/eV/f.u.
total magnetic moment: 12.3 μB/cell
density: 2.70 Mg/m³
E_tot: -3.723 eV per atom

The structure in CIF format:
```
data_RbMnGa2Cl8
_cell_length_a 6.4799
_cell_length_b 6.4799
_cell_length_c 28.5945
_cell_angle_alpha 90.00
_cell_angle_beta 90.00
_cell_angle_gamma 120.00
_symmetry_space_group_name_H-M 'R -3'
_symmetry_Int_Tables_number 148
_symmetry_space_group_name_Hall '-R 3'
loop_
_atom_site_label
_atom_site_fract_x
_atom_site_fract_y
_atom_site_fract_z
_atom_site_occupancy
Rb1 0.0000 0.0000 0.0000 1
Mn1 0.0000 0.0000 0.5000 1
Ga1 0.0000 0.0000 0.2420 1
Cl1 0.0000 0.0000 0.3206 1
Cl2 0.0015 0.6818 0.4477 1
```

# 2
The following is a DFT calculation (GGA-PBE) of a relaxed K8Rb7 crystal.

Computed properties:
DFT formation energy: 0.02 eV per atom
DOS at the Fermi energy: 11.8 states/eV/f.u.
total magnetic moment: 0.0 μB/cell
density: 1.24 Mg/m³
E_tot: -1.021 eV per atom

The structure in CIF format:
```
data_K8Rb7
_cell_length_a 16.7211
_cell_length_b 16.7211
_cell_length_c 8.7093
_cell_angle_alpha 90.00
_cell_angle_beta 90.00
_cell_angle_gamma 90.00
_symmetry_space_group_name_H-M 'P 42/m n m'
_symmetry_Int_Tables_number 136
_symmetry_space_group_name_Hall '-P 4n 2n'
loop_
_atom_site_label
_atom_site_fract_x
_atom_site_fract_y
_atom_site_fract_z
_atom_site_occupancy
K1 0.0346 0.3684 0.0000 1
K2 0.1849 0.8151 0.2490 1
Rb1 0.0000 0.0000 0.5000 1
Rb2 0.0621 0.2699 0.5000 1
Rb3 0.1034 0.1034 0.0000 1
```

# 3
The following is a DFT calculation (GGA-PBE) of a relaxed SmAl12Pt4 crystal.

Computed properties:
DFT formation energy: -0.37 eV per atom
DOS at the Fermi energy: 12.9 states/eV/f.u.
total magnetic moment: 0.0 μB/cell
density: 6.13 Mg/m³
E_tot: -4.712 eV per atom

The structure in CIF format:
```
data_SmAl12Pt4
_cell_length_a 8.7925
_cell_length_b 8.7925
_cell_length_c 8.7925
_cell_angle_alpha 90.00
_cell_angle_beta 90.00
_cell_angle_gamma 90.00
_symmetry_space_group_name_H-M 'I m -3'
_symmetry_Int_Tables_number 204
_symmetry_space_group_name_Hall '-I 2 2 3'
loop_
_atom_site_label
_atom_site_fract_x
_atom_site_fract_y
_atom_site_fract_z
_atom_site_occupancy
Sm1 0.0000 0.0000 0.0000 1
Al1 0.0000 0.3423 0.1600 1
Pt1 0.2500 0.2500 0.2500 1
```

# 4
The following is a DFT calculation (GGA-PBE) of a relaxed K2Cu2SnO6 crystal.

Computed properties:
DOS at the Fermi energy: 6.7 states/eV/f.u.
total magnetic moment: 2.3 μB/cell
density: 3.97 Mg/m³
E_tot: -5.007 eV per atom

The structure in CIF format:
```
data_K2Cu2SnO6
_cell_length_a 5.8241
_cell_length_b 5.8241
_cell_length_c 17.9207
_cell_angle_alpha 90.00
_cell_angle_beta 90.00
_cell_angle_gamma 120.00
_symmetry_space_group_name_H-M 'R -3 m'
_symmetry_Int_Tables_number 166
_symmetry_space_group_name_Hall '-R 3 2"'
loop_
_atom_site_label
_atom_site_fract_x
_atom_site_fract_y
_atom_site_fract_z
_atom_site_occupancy
K1 0.0000 0.0000 0.2090 1
Cu1 0.0000 0.0000 0.4047 1
Sn1 0.0000 0.0000 0.0000 1
O1 0.0210 0.5105 0.7430 1
```

# 5
The following is a DFT calculation (GGA-PBE) of a relaxed CsZrInCl6 crystal.

Computed properties:
DOS at the Fermi energy: 0.0 states/eV/f.u.
total magnetic moment: 0.0 μB/cell
density: 2.58 Mg/m³
E_tot: -4.265 eV per atom

The structure in CIF format:
```
data_CsZrInCl6
_cell_length_a 7.6818
_cell_length_b 7.6818
_cell_length_c 13.9036
_cell_angle_alpha 90.00
_cell_angle_beta 90.00
_cell_angle_gamma 120.00
_symmetry_space_group_name_H-M 'P -3 1 c'
_symmetry_Int_Tables_number 163
_symmetry_space_group_name_Hall '-P 3 2c'
loop_
_atom_site_label
_atom_site_fract_x
_atom_site_fract_y
_atom_site_fract_z
_atom_site_occupancy
Cs1 0.0000 0.0000 0.0000 1
Zr1 0.3333 0.6667 0.2500 1
In1 0.3333 0.6667 0.7500 1
Cl1 0.0634 0.4051 0.1464 1
```

# 6
The following is a DFT calculation (GGA-PBE) of a relaxed Dy2ThMg crystal.

Computed properties:
relative energy among the computed polymorphs: 0.0000 eV/atom
DFT formation energy: -0.04 eV per atom
DOS at the Fermi energy: 4.4 states/eV/f.u.
total magnetic moment: 0.0 μB/cell
density: 8.16 Mg/m³
E_tot: -4.599 eV per atom

The structure in CIF format:
```
data_Dy2ThMg
_cell_length_a 3.5835
_cell_length_b 3.5835
_cell_length_c 9.2080
_cell_angle_alpha 90.00
_cell_angle_beta 90.00
_cell_angle_gamma 90.00
_symmetry_space_group_name_H-M 'P 4/m m m'
_symmetry_Int_Tables_number 123
_symmetry_space_group_name_Hall '-P 4 2'
loop_
_atom_site_label
_atom_site_fract_x
_atom_site_fract_y
_atom_site_fract_z
_atom_site_occupancy
Dy1 0.0000 0.0000 0.2400 1
Th1 0.5000 0.5000 0.5000 1
Mg1 0.5000 0.5000 0.0000 1
```

# 7
The following is a DFT calculation (GGA-PBE) of a relaxed P3Ir2Au crystal.

Computed properties:
relative energy among the computed polymorphs: 0.0404 eV/atom
DFT formation energy: -0.22 eV per atom
DOS at the Fermi energy: 2.0 states/eV/f.u.
total magnetic moment: 0.0 μB/cell
density: 11.19 Mg/m³
E_tot: -6.428 eV per atom

The structure in CIF format:
```
data_P3Ir2Au
_cell_length_a 3.7926
_cell_length_b 4.2613
_cell_length_c 6.7461
_cell_angle_alpha 93.36
_cell_angle_beta 103.29
_cell_angle_gamma 107.71
_symmetry_space_group_name_H-M 'P 1'
_symmetry_Int_Tables_number 1
loop_
_symmetry_equiv_pos_as_xyz
'x,y,z'
loop_
_atom_site_label
_atom_site_fract_x
_atom_site_fract_y
_atom_site_fract_z
_atom_site_occupancy
P1 0.0000 0.0000 0.0000 1
P2 0.2163 0.4854 0.8958 1
P3 0.5599 0.0349 0.5292 1
Ir1 0.5326 0.8890 0.1820 1
Ir2 0.6635 0.5753 0.7023 1
Au1 0.0077 0.5262 0.3787 1
```

# 8
The following is a DFT calculation (GGA-PBE) of a relaxed MgPaSnOs crystal.

Computed properties:
DFT formation energy: -0.03 eV per atom
DOS at the Fermi energy: 3.4 states/eV/f.u.
total magnetic moment: 0.0 μB/cell
density: 11.64 Mg/m³
E_tot: -6.609 eV per atom

The structure in CIF format:
```
data_MgPaSnOs
_cell_length_a 6.8544
_cell_length_b 6.8544
_cell_length_c 6.8544
_cell_angle_alpha 90.00
_cell_angle_beta 90.00
_cell_angle_gamma 90.00
_symmetry_space_group_name_H-M 'F -4 3 m'
_symmetry_Int_Tables_number 216
_symmetry_space_group_name_Hall 'F -4 2 3'
loop_
_atom_site_label
_atom_site_fract_x
_atom_site_fract_y
_atom_site_fract_z
_atom_site_occupancy
Mg1 0.0000 0.0000 0.0000 1
Pa1 0.2500 0.2500 0.2500 1
Sn1 0.2500 0.2500 0.7500 1
Os1 0.0000 0.0000 0.5000 1
```

# 9
The following is a DFT calculation (GGA-PBE) of a relaxed BeNb2N crystal.

Computed properties:
relative energy among the computed polymorphs: 0.5992 eV/atom
DOS at the Fermi energy: 2.4 states/eV/f.u.
total magnetic moment: 0.0 μB/cell
density: 5.43 Mg/m³
E_tot: -7.862 eV per atom

The structure in CIF format:
```
data_BeNb2N
_cell_length_a 4.9788
_cell_length_b 4.9788
_cell_length_c 10.3048
_cell_angle_alpha 90.00
_cell_angle_beta 90.00
_cell_angle_gamma 90.00
_symmetry_space_group_name_H-M 'I -4 2 d'
_symmetry_Int_Tables_number 122
_symmetry_space_group_name_Hall 'I -4 2bw'
loop_
_atom_site_label
_atom_site_fract_x
_atom_site_fract_y
_atom_site_fract_z
_atom_site_occupancy
Be1 0.0000 0.0000 0.0000 1
Nb1 0.1886 0.2500 0.6250 1
N1 0.0000 0.0000 0.5000 1
```

# 10
The following is a DFT calculation (GGA-PBE) of a relaxed MnTcRu2 crystal.

Computed properties:
relative energy among the computed polymorphs: 0.0117 eV/atom
DFT formation energy: 0.08 eV per atom
DOS at the Fermi energy: 4.0 states/eV/f.u.
total magnetic moment: 3.5 μB/cell
density: 10.79 Mg/m³
E_tot: -9.446 eV per atom

The structure in CIF format:
```
data_MnTcRu2
_cell_length_a 8.8631
_cell_length_b 2.6849
_cell_length_c 4.6599
_cell_angle_alpha 90.00
_cell_angle_beta 99.86
_cell_angle_gamma 90.00
_symmetry_space_group_name_H-M 'C 1 2/m 1'
_symmetry_Int_Tables_number 12
loop_
_symmetry_equiv_pos_as_xyz
'x,y,z'
'-x,-y,-z'
'-x,y,-z'
'x,-y,z'
'x+1/2,y+1/2,z'
'-x+1/2,-y+1/2,-z'
'-x+1/2,y+1/2,-z'
'x+1/2,-y+1/2,z'
loop_
_atom_site_label
_atom_site_fract_x
_atom_site_fract_y
_atom_site_fract_z
_atom_site_occupancy
Mn1 0.0000 0.0000 0.0000 1
Tc1 0.0000 0.5000 0.5000 1
Ru1 0.2486 0.5000 0.2485 1
```

- What is the formula in the second record?
  K8Rb7